Below is crystalline NbFeB at its relaxed geometry, with properties calculated at the PBE level.

a b c (Å): 3.8534 4.6150 4.6856
angles (deg): 101.99 99.43 114.44
Closest atoms and distances in Å follow each position.
Fractional positions:
Nb (0.0000, 0.0000, 0.0000)  4 B 2.38-2.44, 4 Fe 2.57-2.64
Nb (0.1698, 0.4712, 0.6618)  5 B 2.44-2.62, 2 Fe 2.64-2.69
Fe (0.5072, 0.8748, 0.3405)  3 B 1.99-2.05
Fe (0.7330, 0.4437, 0.1501)  2 B 1.97-2.04
B (0.0398, 0.8891, 0.4873)  1 B 1.71
B (0.5001, 0.1169, 0.7413)  1 B 1.71

- SG = P1, No. 1
- crystal system = triclinic
- DOS at the Fermi energy (states/eV/atom) = 0.79
- energy of formation from the pure elements (eV per atom) = -0.20


Below is crystalline NbFeB at its relaxed geometry, with properties calculated at the PBE level.

a b c (Å): 10.3406 2.9083 4.8594
angles (deg): 90.00 106.36 90.00
Closest atoms and distances in Å follow each position.
Fractional positions:
Nb (0.0000, 0.0000, 0.0000)  3 B 2.37-2.62
Nb (0.2394, 0.0000, 0.5900)  4 B 2.36-2.43, 4 Fe 2.50-2.63
Nb (0.5000, 0.5000, 0.0000)  3 B 2.37-2.62
Nb (0.7394, 0.5000, 0.5900)  4 B 2.36-2.43, 4 Fe 2.50-2.63
Fe (0.0205, 0.5000, 0.5178)  3 B 1.96-2.10
Fe (0.2994, 0.0000, 0.1262)  4 B 2.06-2.13
Fe (0.5205, 0.0000, 0.5178)  3 B 1.96-2.10
Fe (0.7994, 0.5000, 0.1262)  4 B 2.06-2.13
B (0.1660, 0.5000, 0.9179)  3 Fe 2.06-2.10
B (0.3877, 0.5000, 0.4449)  4 Fe 1.96-2.13
B (0.6660, 0.0000, 0.9179)  3 Fe 2.06-2.10
B (0.8877, 0.0000, 0.4449)  4 Fe 1.96-2.13

- SG = Cm, No. 8
- crystal system = monoclinic
- DOS at the Fermi energy (states/eV/atom) = 0.85
- energy of formation from the pure elements (eV per atom) = -0.21


Below is crystalline NbFeB at its relaxed geometry, with properties calculated at the PBE level.

a b c (Å): 2.8895 4.9891 5.1122
angles (deg): 93.81 104.46 101.87
Closest atoms and distances in Å follow each position.
Fractional positions:
Nb (0.0000, 0.0000, 0.0000)  3 B 2.40-2.59, 2 Fe 2.54-2.65
Nb (0.4451, 0.6521, 0.4363)  4 B 2.36-2.41, 2 Fe 2.48-2.64
Fe (0.2908, 0.1093, 0.5591)  4 B 2.03-2.06
Fe (0.6163, 0.4887, 0.9754)  3 B 2.03-2.16
B (0.7434, 0.2650, 0.3244)  1 B 1.84, 1 Fe 2.06
B (0.9534, 0.3889, 0.6905)  1 B 1.84, 4 Fe 2.03-2.05

- SG = P1, No. 1
- crystal system = triclinic
- DOS at the Fermi energy (states/eV/atom) = 0.72
- energy of formation from the pure elements (eV per atom) = -0.28